{
  "formula": "LaIr2Br",
  "functional": "PBE",
  "state": "relaxed",
  "lattice_angstrom": [[3.571, 0.000, 0.000], [0.000, 3.571, 0.000], [0.000, 0.000, 8.122]],
  "species": ["La", "Ir", "Ir", "Br"],
  "fractional_positions": [[0.000, 0.000, 0.000], [0.000, 0.000, 0.672], [0.500, 0.500, 0.743], [0.500, 0.500, 0.228]],
  "m_tot_mub_per_fu": 0.00,
  "e_form_raw_kj_per_mol_fu": -153,
  "polymorph_energy_ev_per_fu": 0.45
}